CsHfRh3: relaxed, PBEsol.

Results
* E_form: 0.809 eV per atom
* final energy: -31.816 eV for the cell shown
* DOS at the Fermi energy: 5.85 states/eV per cell
* crystal system: cubic

Lattice parameters (Å, degrees): 4.887 4.887 4.887 90.00 90.00 90.00
Fractional coordinates of all 5 atoms:
Cs 0.000 0.000 0.000
Hf 0.500 0.500 0.500
Rh 0.000 0.500 0.500
Rh 0.500 0.000 0.500
Rh 0.500 0.500 0.000